10
Lattice="4.173 0.000 0.000 -2.086 4.827 0.000 0.000 0.000 8.213" Properties=species:S:1:pos:R:3 comment="PBE LiAlZn2Ga, relaxed" formation_energy_ev_per_atom=-0.04 dft_energy_ev_per_cell=-22.89 dos_at_fermi_per_ev_atom=0.35 pbc="T T T"
Ga 0.000 4.618 2.053
Ga 2.086 0.208 6.160
Zn 2.086 1.740 0.266
Zn 0.000 3.086 4.372
Zn 0.000 3.086 7.947
Zn 2.086 1.740 3.841
Al 0.000 0.000 0.000
Al 0.000 0.000 4.107
Li 0.000 1.819 2.053
Li 2.086 3.007 6.160

=====

9
Lattice="-2.242 6.074 1.612 -1.329 0.418 -6.526 -5.544 -3.315 1.677" Properties=species:S:1:pos:R:3 comment="PBE Tl2Bi6Pb, relaxed" formation_energy_ev_per_atom=0.00 dft_energy_ev_per_cell=-31.68 dos_at_fermi_per_ev_atom=0.41 pbc="T T T"
Bi -4.252 -0.301 -4.338
Bi -5.965 0.342 1.121
Bi -4.863 3.478 1.101
Bi -5.661 -1.548 -1.596
Bi -3.454 4.725 -1.641
Bi -3.150 2.835 -4.359
Pb 0.000 0.000 0.000
Tl -6.064 2.113 -2.154
Tl -3.051 1.064 -1.083

=====

4
Lattice="2.794 -0.012 0.000 -1.366 2.437 0.000 0.000 0.000 8.616" Properties=species:S:1:pos:R:3 comment="PBE Ni2OsBr, relaxed" dft_energy_ev_per_cell=-21.61 de_polymorph_mev_per_atom=228 dos_at_fermi_per_ev_atom=1.32 pbc="T T T"
Br 0.714 1.213 6.462
Os 0.714 1.213 2.154
Ni 0.000 0.000 4.204
Ni 0.000 0.000 0.104

=====

8
Lattice="3.560 0.000 0.000 0.000 6.159 0.130 0.000 -2.131 5.740" Properties=species:S:1:pos:R:3 comment="PBE NdSm2UN4, relaxed" dft_energy_ev_per_cell=-70.41 dos_at_fermi_per_ev_atom=0.65 pbc="T T T"
N 0.000 4.306 1.416
N 1.780 0.883 1.322
N 1.780 3.145 4.547
N 0.000 -0.278 4.453
Sm 1.780 -1.065 2.870
Sm 0.000 2.014 2.935
Nd 1.780 3.079 0.065
U 0.000 0.000 0.000